## P
# Ti2CdSe, optimized geometry, DFT PBE
data_Ti2CdSe
_symmetry_space_group_name_H-M 'P 1'
_symmetry_Int_Tables_number 1
_cell_length_a 4.072
_cell_length_b 4.072
_cell_length_c 10.072
_cell_angle_alpha 78.34
_cell_angle_beta 78.34
_cell_angle_gamma 90.00
loop_
_symmetry_equiv_pos_as_xyz
'x,y,z'
loop_
_atom_site_label
_atom_site_type_symbol
_atom_site_fract_x
_atom_site_fract_y
_atom_site_fract_z
Ti1 Ti 0.605 0.125 0.250
Ti2 Ti 0.145 0.625 0.250
Ti3 Ti 0.375 0.395 0.750
Ti4 Ti 0.875 0.855 0.750
Se1 Se 0.500 0.500 0.000
Se2 Se 0.250 0.750 0.500
Cd1 Cd 0.000 0.000 0.000
Cd2 Cd 0.750 0.250 0.500
# Total moment ... 0.0 μB per formula unit



## Q
# Ti2CdSe, optimized geometry, DFT PBE
data_Ti2CdSe
_symmetry_space_group_name_H-M 'P 1'
_symmetry_Int_Tables_number 1
_cell_length_a 4.656
_cell_length_b 4.656
_cell_length_c 4.656
_cell_angle_alpha 60.00
_cell_angle_beta 60.00
_cell_angle_gamma 60.00
loop_
_symmetry_equiv_pos_as_xyz
'x,y,z'
loop_
_atom_site_label
_atom_site_type_symbol
_atom_site_fract_x
_atom_site_fract_y
_atom_site_fract_z
Ti1 Ti 0.250 0.250 0.250
Ti2 Ti 0.750 0.750 0.750
Se1 Se 0.000 0.000 0.000
Cd1 Cd 0.500 0.500 0.500
# Total moment ... 0.0 μB per formula unit



Calculated relative energies: P 233; Q 0, given in meV/atom



## P
# Tl2CdSe, optimized geometry, DFT PBE
data_Tl2CdSe
_symmetry_space_group_name_H-M 'P 1'
_symmetry_Int_Tables_number 1
_cell_length_a 8.378
_cell_length_b 5.084
_cell_length_c 4.354
_cell_angle_alpha 89.75
_cell_angle_beta 59.04
_cell_angle_gamma 127.13
loop_
_symmetry_equiv_pos_as_xyz
'x,y,z'
loop_
_atom_site_label
_atom_site_type_symbol
_atom_site_fract_x
_atom_site_fract_y
_atom_site_fract_z
Cd1 Cd 0.000 0.500 0.500
Se1 Se 0.500 0.500 0.000
Tl1 Tl 0.000 0.000 0.000
Tl2 Tl 0.500 0.000 0.500
# Total moment ... 0.0 μB per formula unit



## Q
# Tl2CdSe, optimized geometry, DFT PBE
data_Tl2CdSe
_symmetry_space_group_name_H-M 'P 1'
_symmetry_Int_Tables_number 1
_cell_length_a 3.805
_cell_length_b 3.805
_cell_length_c 7.668
_cell_angle_alpha 90.00
_cell_angle_beta 90.00
_cell_angle_gamma 90.52
loop_
_symmetry_equiv_pos_as_xyz
'x,y,z'
loop_
_atom_site_label
_atom_site_type_symbol
_atom_site_fract_x
_atom_site_fract_y
_atom_site_fract_z
Cd1 Cd 0.000 0.000 0.531
Se1 Se 0.500 0.500 0.718
Tl1 Tl 0.000 0.000 0.962
Tl2 Tl 0.500 0.500 0.288
# Total moment ... 0.0 μB per formula unit



Calculated relative energies: P 31; Q 0, given in meV/atom



## P
# Tl2CdSe, optimized geometry, DFT PBE
data_Tl2CdSe
_symmetry_space_group_name_H-M 'P 1'
_symmetry_Int_Tables_number 1
_cell_length_a 6.071
_cell_length_b 6.071
_cell_length_c 6.071
_cell_angle_alpha 134.41
_cell_angle_beta 134.41
_cell_angle_gamma 66.45
loop_
_symmetry_equiv_pos_as_xyz
'x,y,z'
loop_
_atom_site_label
_atom_site_type_symbol
_atom_site_fract_x
_atom_site_fract_y
_atom_site_fract_z
Cd1 Cd 0.500 0.500 0.000
Se1 Se 0.750 0.250 0.500
Tl1 Tl 0.000 0.000 0.000
Tl2 Tl 0.250 0.750 0.500
# Total moment ... 0.0 μB per formula unit



## Q
# Tl2CdSe, optimized geometry, DFT PBE
data_Tl2CdSe
_symmetry_space_group_name_H-M 'P 1'
_symmetry_Int_Tables_number 1
_cell_length_a 5.450
_cell_length_b 5.450
_cell_length_c 5.450
_cell_angle_alpha 60.00
_cell_angle_beta 60.00
_cell_angle_gamma 60.00
loop_
_symmetry_equiv_pos_as_xyz
'x,y,z'
loop_
_atom_site_label
_atom_site_type_symbol
_atom_site_fract_x
_atom_site_fract_y
_atom_site_fract_z
Cd1 Cd 0.500 0.500 0.500
Se1 Se 0.250 0.250 0.250
Tl1 Tl 0.000 0.000 0.000
Tl2 Tl 0.750 0.750 0.750
# Total moment ... 0.0 μB per formula unit



Calculated relative energies: P 0; Q 57, given in meV/atom



## P
# Tl2CdSe, optimized geometry, DFT PBE
data_Tl2CdSe
_symmetry_space_group_name_H-M 'P 1'
_symmetry_Int_Tables_number 1
_cell_length_a 4.185
_cell_length_b 4.949
_cell_length_c 6.320
_cell_angle_alpha 67.08
_cell_angle_beta 90.00
_cell_angle_gamma 90.00
loop_
_symmetry_equiv_pos_as_xyz
'x,y,z'
loop_
_atom_site_label
_atom_site_type_symbol
_atom_site_fract_x
_atom_site_fract_y
_atom_site_fract_z
Cd1 Cd 0.000 0.687 0.474
Se1 Se 0.500 0.553 0.800
Tl1 Tl 0.000 0.985 0.911
Tl2 Tl 0.500 0.275 0.315
# Total moment ... 0.0 μB per formula unit



## Q
# Tl2CdSe, optimized geometry, DFT PBE
data_Tl2CdSe
_symmetry_space_group_name_H-M 'P 1'
_symmetry_Int_Tables_number 1
_cell_length_a 5.487
_cell_length_b 5.487
_cell_length_c 5.487
_cell_angle_alpha 60.00
_cell_angle_beta 60.00
_cell_angle_gamma 60.00
loop_
_symmetry_equiv_pos_as_xyz
'x,y,z'
loop_
_atom_site_label
_atom_site_type_symbol
_atom_site_fract_x
_atom_site_fract_y
_atom_site_fract_z
Tl1 Tl 0.250 0.250 0.250
Tl2 Tl 0.750 0.750 0.750
Se1 Se 0.000 0.000 0.000
Cd1 Cd 0.500 0.500 0.500
# Total moment ... 0.0 μB per formula unit



## R
# Tl2CdSe, optimized geometry, DFT PBE
data_Tl2CdSe
_symmetry_space_group_name_H-M 'P 1'
_symmetry_Int_Tables_number 1
_cell_length_a 8.355
_cell_length_b 8.355
_cell_length_c 6.816
_cell_angle_alpha 52.20
_cell_angle_beta 52.20
_cell_angle_gamma 90.00
loop_
_symmetry_equiv_pos_as_xyz
'x,y,z'
loop_
_atom_site_label
_atom_site_type_symbol
_atom_site_fract_x
_atom_site_fract_y
_atom_site_fract_z
Tl1 Tl 0.608 0.125 0.250
Tl2 Tl 0.142 0.625 0.250
Tl3 Tl 0.375 0.392 0.750
Tl4 Tl 0.875 0.858 0.750
Se1 Se 0.500 0.500 0.000
Se2 Se 0.250 0.750 0.500
Cd1 Cd 0.000 0.000 0.000
Cd2 Cd 0.750 0.250 0.500
# Total moment ... 0.0 μB per formula unit



## S
# Tl2CdSe, optimized geometry, DFT PBE
data_Tl2CdSe
_symmetry_space_group_name_H-M 'P 1'
_symmetry_Int_Tables_number 1
_cell_length_a 6.332
_cell_length_b 6.332
_cell_length_c 6.332
_cell_angle_alpha 143.88
_cell_angle_beta 128.79
_cell_angle_gamma 64.26
loop_
_symmetry_equiv_pos_as_xyz
'x,y,z'
loop_
_atom_site_label
_atom_site_type_symbol
_atom_site_fract_x
_atom_site_fract_y
_atom_site_fract_z
Cd1 Cd 0.460 0.460 0.000
Se1 Se 0.270 0.770 0.500
Tl1 Tl 0.032 0.032 0.000
Tl2 Tl 0.738 0.238 0.500
# Total moment ... 0.0 μB per formula unit



Calculated relative energies: P 0; Q 79; R 70; S 41, given in meV/atom



## P
# Tl2CdSe, optimized geometry, DFT PBE
data_Tl2CdSe
_symmetry_space_group_name_H-M 'P 1'
_symmetry_Int_Tables_number 1
_cell_length_a 7.418
_cell_length_b 7.418
_cell_length_c 7.418
_cell_angle_alpha 36.71
_cell_angle_beta 36.71
_cell_angle_gamma 36.71
loop_
_symmetry_equiv_pos_as_xyz
'x,y,z'
loop_
_atom_site_label
_atom_site_type_symbol
_atom_site_fract_x
_atom_site_fract_y
_atom_site_fract_z
Cd1 Cd 0.250 0.250 0.250
Se1 Se 0.750 0.750 0.750
Tl1 Tl 0.011 0.011 0.011
Tl2 Tl 0.489 0.489 0.489
# Total moment ... 0.0 μB per formula unit



## Q
# Tl2CdSe, optimized geometry, DFT PBE
data_Tl2CdSe
_symmetry_space_group_name_H-M 'P 1'
_symmetry_Int_Tables_number 1
_cell_length_a 3.848
_cell_length_b 3.823
_cell_length_c 8.914
_cell_angle_alpha 64.40
_cell_angle_beta 90.00
_cell_angle_gamma 90.00
loop_
_symmetry_equiv_pos_as_xyz
'x,y,z'
loop_
_atom_site_label
_atom_site_type_symbol
_atom_site_fract_x
_atom_site_fract_y
_atom_site_fract_z
Cd1 Cd 0.500 0.250 0.250
Se1 Se 0.500 0.750 0.750
Tl1 Tl 0.000 0.032 0.964
Tl2 Tl 0.000 0.468 0.536
# Total moment ... 0.0 μB per formula unit



Calculated relative energies: P 0; Q 37, given in meV/atom



## P
# TlCd2Se, optimized geometry, DFT PBE
data_TlCd2Se
_symmetry_space_group_name_H-M 'P 1'
_symmetry_Int_Tables_number 1
_cell_length_a 4.006
_cell_length_b 4.006
_cell_length_c 8.208
_cell_angle_alpha 75.88
_cell_angle_beta 75.88
_cell_angle_gamma 60.00
loop_
_symmetry_equiv_pos_as_xyz
'x,y,z'
loop_
_atom_site_label
_atom_site_type_symbol
_atom_site_fract_x
_atom_site_fract_y
_atom_site_fract_z
Tl1 Tl 0.500 0.500 0.501
Cd1 Cd 0.070 0.070 0.789
Cd2 Cd 0.262 0.262 0.213
Se1 Se 0.668 0.668 0.997
# Total moment ... 0.0 μB per formula unit



## Q
# TlCd2Se, optimized geometry, DFT PBE
data_TlCd2Se
_symmetry_space_group_name_H-M 'P 1'
_symmetry_Int_Tables_number 1
_cell_length_a 6.905
_cell_length_b 6.905
_cell_length_c 6.905
_cell_angle_alpha 145.47
_cell_angle_beta 144.93
_cell_angle_gamma 50.04
loop_
_symmetry_equiv_pos_as_xyz
'x,y,z'
loop_
_atom_site_label
_atom_site_type_symbol
_atom_site_fract_x
_atom_site_fract_y
_atom_site_fract_z
Cd1 Cd 0.003 0.003 0.000
Cd2 Cd 0.697 0.197 0.500
Se1 Se 0.507 0.507 0.000
Tl1 Tl 0.293 0.793 0.500
# Total moment ... 0.0 μB per formula unit



Calculated relative energies: P 0; Q 47, given in meV/atom